1.
The following is a DFT calculation (GGA-PBE) of As2RuPb after structural relaxation.

DOS at the Fermi energy, states/eV/f.u.: 1.95
Energy of formation from the pure elements, eV/atom: -0.006
SG: Cm (8)

Cell: 4.497 4.497 6.505 Å, 74.18 74.18 45.19°
Positions (direct):
1 Pb 0.433 0.433 0.506
2 Ru 0.771 0.771 0.924
3 As 0.077 0.077 0.864
4 As 0.219 0.219 0.206

---

2.
The following is a DFT calculation (GGA-PBE) of KHoP2O6 after structural relaxation.

DOS at the Fermi energy, states/eV/f.u.: 0.00
SG: C2/c (15)
Uncorrected formation energy, eV per atom: -2.5806

Cell: 6.754 6.754 10.664 Å, 110.21 110.21 112.37°
Positions (direct):
1 K 0.155 0.845 0.250
2 K 0.845 0.155 0.750
3 Ho 0.590 0.410 0.250
4 Ho 0.410 0.590 0.750
5 P 0.307 0.065 0.812
6 P 0.935 0.693 0.688
7 P 0.693 0.935 0.188
8 P 0.065 0.307 0.312
9 O 0.970 0.474 0.287
10 O 0.526 0.030 0.213
11 O 0.030 0.526 0.713
12 O 0.474 0.970 0.787
13 O 0.214 0.280 0.232
14 O 0.720 0.786 0.268
15 O 0.786 0.720 0.768
16 O 0.280 0.214 0.732
17 O 0.220 0.396 0.487
18 O 0.604 0.780 0.013
19 O 0.780 0.604 0.513
20 O 0.396 0.220 0.987

---

3.
The following is a DFT calculation (GGA-PBE) of TlNi2Cl after structural relaxation.

DOS at the Fermi energy, states/eV/f.u.: 3.43
SG: I-4m2 (119)
Excess energy over the best structure of this formula in the dataset, eV/atom: 0.348
Uncorrected formation energy, eV per atom: 0.4222

Cell: 6.133 6.133 6.133 Å, 145.99 145.99 48.87°
Positions (direct):
1 Cl 0.750 0.250 0.500
2 Ni 0.000 0.000 0.000
3 Ni 0.250 0.750 0.500
4 Tl 0.500 0.500 0.000

---

4.
The following is a DFT calculation (GGA-PBE) of KErCuBr5 after structural relaxation.

DOS at the Fermi energy, states/eV/f.u.: 0.00
SG: C2/c (15)
Uncorrected formation energy, eV per atom: -1.4244

Cell: 7.689 7.689 10.441 Å, 103.69 103.69 106.50°
Positions (direct):
1 K 0.354 0.646 0.250
2 K 0.646 0.354 0.750
3 Er 0.000 0.000 0.500
4 Er 0.000 0.000 0.000
5 Cu 0.692 0.308 0.250
6 Cu 0.308 0.692 0.750
7 Br 0.083 0.917 0.250
8 Br 0.917 0.083 0.750
9 Br 0.912 0.317 0.114
10 Br 0.088 0.683 0.886
11 Br 0.683 0.088 0.386
12 Br 0.317 0.912 0.614
13 Br 0.760 0.621 0.431
14 Br 0.240 0.379 0.569
15 Br 0.379 0.240 0.069
16 Br 0.621 0.760 0.931

---

5.
The following is a DFT calculation (GGA-PBE) of Sc2TaCd after structural relaxation.

DOS at the Fermi energy, states/eV/f.u.: 6.43
Energy of formation from the pure elements, eV/atom: 0.290
SG: F-43m (216)

Cell: 4.910 4.910 4.910 Å, 60.00 60.00 60.00°
Positions (direct):
1 Cd 0.500 0.500 0.500
2 Sc 0.000 0.000 0.000
3 Sc 0.250 0.250 0.250
4 Ta 0.750 0.750 0.750

---

6.
The following is a DFT calculation (GGA-PBE) of Tb2HoZn6 after structural relaxation.

DOS at the Fermi energy, states/eV/f.u.: 6.00
Energy of formation from the pure elements, eV/atom: -0.381
SG: P6/mmm (191)

Cell: 3.505 7.759 7.759 Å, 120.00 90.00 90.00°
Positions (direct):
1 Tb 0.000 0.333 0.667
2 Tb 0.000 0.667 0.333
3 Ho 0.000 0.000 0.000
4 Zn 0.500 0.333 0.333
5 Zn 0.500 0.667 0.667
6 Zn 0.500 0.000 0.667
7 Zn 0.500 0.667 0.000
8 Zn 0.500 0.333 0.000
9 Zn 0.500 0.000 0.333

---

7.
The following is a DFT calculation (GGA-PBE) of Ta2AlCrSn after structural relaxation.

DOS at the Fermi energy, states/eV/f.u.: 5.71
Energy of formation from the pure elements, eV/atom: 1.180
SG: P4/mmm (123)

Cell: 4.774 4.289 4.774 Å, 90.00 90.00 90.00°
Positions (direct):
1 Cr 0.000 0.500 0.000
2 Al 0.000 0.000 0.000
3 Sn 0.500 0.500 0.500
4 Ta 0.000 0.000 0.500
5 Ta 0.500 0.000 0.000

---

8.
The following is a DFT calculation (GGA-PBE) of Tm2AgPt after structural relaxation.

DOS at the Fermi energy, states/eV/f.u.: 2.50
Energy of formation from the pure elements, eV/atom: -0.832
SG: P4/mmm (123)
Excess energy over the best structure of this formula in the dataset, eV/atom: 0.000

Cell: 3.512 3.512 7.057 Å, 90.00 90.00 90.00°
Positions (direct):
1 Tm 0.000 0.000 0.764
2 Tm 0.000 0.000 0.236
3 Ag 0.500 0.500 0.500
4 Pt 0.500 0.500 0.000

---

9.
The following is a DFT calculation (GGA-PBE) of K2NaIn6 after structural relaxation.

DOS at the Fermi energy, states/eV/f.u.: 2.19
Energy of formation from the pure elements, eV/atom: -0.094
SG: P6/mmm (191)

Cell: 9.350 9.350 3.488 Å, 90.00 90.00 120.00°
Positions (direct):
1 K 0.333 0.667 0.000
2 K 0.667 0.333 0.000
3 Na 0.000 0.000 0.000
4 In 0.675 0.000 0.500
5 In 0.000 0.675 0.500
6 In 0.325 0.000 0.500
7 In 0.675 0.675 0.500
8 In 0.000 0.325 0.500
9 In 0.325 0.325 0.500

---

10.
The following is a DFT calculation (GGA-PBE) of NaPr2Zn9 after structural relaxation.

DOS at the Fermi energy, states/eV/f.u.: 6.85
Energy of formation from the pure elements, eV/atom: -0.160
SG: R-3m (166)

Cell: 5.581 5.581 9.290 Å, 72.52 72.52 60.00°
Positions (direct):
1 Na 0.000 0.000 0.000
2 Pr 0.859 0.859 0.422
3 Pr 0.141 0.141 0.578
4 Zn 0.665 0.665 0.004
5 Zn 0.335 0.335 0.996
6 Zn 0.500 0.500 0.500
7 Zn 0.417 0.417 0.245
8 Zn 0.922 0.417 0.245
9 Zn 0.417 0.922 0.245
10 Zn 0.583 0.583 0.755
11 Zn 0.583 0.078 0.755
12 Zn 0.078 0.583 0.755

---

11.
The following is a DFT calculation (GGA-PBE) of Pr2Nd3Mg after structural relaxation.

DOS at the Fermi energy, states/eV/f.u.: 7.27
Energy of formation from the pure elements, eV/atom: 0.203
SG: Imm2 (44)
Excess energy over the best structure of this formula in the dataset, eV/atom: 0.196

Cell: 3.415 6.741 9.763 Å, 110.19 100.07 90.00°
Positions (direct):
1 Pr 0.687 0.309 0.375
2 Pr 0.313 0.935 0.625
3 Nd 0.000 0.909 0.000
4 Nd 0.361 0.487 0.722
5 Nd 0.639 0.764 0.278
6 Mg 0.500 0.338 0.000

---

12.
The following is a DFT calculation (GGA-PBE) of HgSb2O6 after structural relaxation.

DOS at the Fermi energy, states/eV/f.u.: 1.86
SG: P4_2/mnm (136)
Excess energy over the best structure of this formula in the dataset, eV/atom: 0.096
Uncorrected formation energy, eV per atom: -1.0603

Cell: 4.925 4.925 9.790 Å, 90.00 90.00 90.00°
Positions (direct):
1 Hg 0.000 0.000 0.000
2 Hg 0.500 0.500 0.500
3 Sb 0.000 0.000 0.331
4 Sb 0.000 0.000 0.669
5 Sb 0.500 0.500 0.169
6 Sb 0.500 0.500 0.831
7 O 0.174 0.826 0.500
8 O 0.210 0.790 0.813
9 O 0.210 0.790 0.187
10 O 0.290 0.290 0.313
11 O 0.290 0.290 0.687
12 O 0.326 0.326 0.000
13 O 0.674 0.674 0.000
14 O 0.710 0.710 0.313
15 O 0.710 0.710 0.687
16 O 0.790 0.210 0.187
17 O 0.790 0.210 0.813
18 O 0.826 0.174 0.500

---

13.
The following is a DFT calculation (GGA-PBE) of CaVRe2Br after structural relaxation.

DOS at the Fermi energy, states/eV/f.u.: 4.74
SG: P4/mmm (123)
Uncorrected formation energy, eV per atom: 1.0601

Cell: 4.561 5.447 4.561 Å, 90.00 90.00 90.00°
Positions (direct):
1 Re 0.000 0.000 0.500
2 Re 0.500 0.000 0.000
3 Ca 0.500 0.500 0.500
4 Br 0.000 0.500 0.000
5 V 0.000 0.000 0.000

---

14.
The following is a DFT calculation (GGA-PBE) of Na2HgPb3 after structural relaxation.

DOS at the Fermi energy, states/eV/f.u.: 1.98
Energy of formation from the pure elements, eV/atom: -0.124
SG: Pmm2 (25)

Cell: 3.320 5.479 9.632 Å, 90.00 90.00 90.00°
Positions (direct):
1 Na 0.000 0.500 0.009
2 Na 0.000 0.000 0.493
3 Hg 0.500 0.500 0.331
4 Pb 0.500 0.000 0.836
5 Pb 0.500 0.000 0.174
6 Pb 0.500 0.500 0.657

---

15.
The following is a DFT calculation (GGA-PBE) of La3CdO after structural relaxation.

DOS at the Fermi energy, states/eV/f.u.: 7.63
SG: P2_1/m (11)
Excess energy over the best structure of this formula in the dataset, eV/atom: 0.152
Uncorrected formation energy, eV per atom: -1.1545

Cell: 6.983 6.880 6.823 Å, 90.00 118.94 90.00°
Positions (direct):
1 Cd 0.694 0.250 0.479
2 Cd 0.306 0.750 0.521
3 O 0.054 0.250 0.125
4 O 0.946 0.750 0.875
5 La 0.738 0.493 0.948
6 La 0.262 0.507 0.052
7 La 0.738 0.007 0.948
8 La 0.262 0.993 0.052
9 La 0.177 0.250 0.504
10 La 0.823 0.750 0.496

---

16.
The following is a DFT calculation (GGA-PBE) of BiIrOsPd after structural relaxation.

DOS at the Fermi energy, states/eV/f.u.: 3.52
Energy of formation from the pure elements, eV/atom: 0.468
SG: Cm (8)
Excess energy over the best structure of this formula in the dataset, eV/atom: 0.085

Cell: 5.552 2.985 8.828 Å, 90.00 99.97 90.00°
Positions (direct):
1 Bi 0.433 0.000 0.362
2 Bi 0.433 0.500 0.862
3 Ir 0.949 0.000 0.871
4 Ir 0.949 0.500 0.371
5 Os 0.113 0.000 0.610
6 Os 0.113 0.500 0.110
7 Pd 0.701 0.000 0.120
8 Pd 0.701 0.500 0.620

---

17.
The following is a DFT calculation (GGA-PBE) of Zr5In3Ag after structural relaxation.

DOS at the Fermi energy, states/eV/f.u.: 9.20
Energy of formation from the pure elements, eV/atom: -0.226
SG: P6_3/mcm (193)

Cell: 8.782 8.782 5.970 Å, 90.00 90.00 120.00°
Positions (direct):
1 Zr 0.695 0.695 0.750
2 Zr 0.305 0.000 0.750
3 Zr 0.000 0.305 0.750
4 Zr 0.305 0.305 0.250
5 Zr 0.695 0.000 0.250
6 Zr 0.000 0.695 0.250
7 Zr 0.667 0.333 0.000
8 Zr 0.333 0.667 0.000
9 Zr 0.333 0.667 0.500
10 Zr 0.667 0.333 0.500
11 In 0.359 0.359 0.750
12 In 0.641 0.000 0.750
13 In 0.000 0.641 0.750
14 In 0.641 0.641 0.250
15 In 0.359 0.000 0.250
16 In 0.000 0.359 0.250
17 Ag 0.000 0.000 0.000
18 Ag 0.000 0.000 0.500

---

18.
The following is a DFT calculation (GGA-PBE) of FeIr2Au after structural relaxation.

DOS at the Fermi energy, states/eV/f.u.: 5.28
Energy of formation from the pure elements, eV/atom: 0.247
SG: I-4m2 (119)
Excess energy over the best structure of this formula in the dataset, eV/atom: 0.121

Cell: 4.779 4.779 4.779 Å, 131.83 131.83 70.50°
Positions (direct):
1 Au 0.500 0.500 0.000
2 Fe 0.750 0.250 0.500
3 Ir 0.000 0.000 0.000
4 Ir 0.250 0.750 0.500

---

19.
The following is a DFT calculation (GGA-PBE) of TlGeCl3 after structural relaxation.

DOS at the Fermi energy, states/eV/f.u.: 0.00
SG: P1 (1)
Uncorrected formation energy, eV per atom: -0.8923

Cell: 10.274 4.934 7.790 Å, 99.75 85.27 118.58°
Positions (direct):
1 Ge 0.717 0.484 0.049
2 Ge 0.389 0.657 0.549
3 Tl 0.903 0.988 0.529
4 Tl 0.203 0.791 0.029
5 Cl 0.554 0.960 0.956
6 Cl 0.882 0.546 0.800
7 Cl 0.231 0.262 0.724
8 Cl 0.552 0.457 0.456
9 Cl 0.225 0.391 0.301
10 Cl 0.875 0.402 0.223

---

20.
The following is a DFT calculation (GGA-PBE) of Pr2Zn2GaRh5 after structural relaxation.

DOS at the Fermi energy, states/eV/f.u.: 5.17
Energy of formation from the pure elements, eV/atom: -0.543
SG: P4/mbm (127)

Cell: 3.589 9.861 9.861 Å, 90.00 90.00 90.00°
Positions (direct):
1 Pr 0.000 0.675 0.175
2 Pr 0.000 0.325 0.825
3 Pr 0.000 0.175 0.325
4 Pr 0.000 0.825 0.675
5 Zn 0.000 0.125 0.625
6 Zn 0.000 0.875 0.375
7 Zn 0.000 0.625 0.875
8 Zn 0.000 0.375 0.125
9 Ga 0.000 0.000 0.000
10 Ga 0.000 0.500 0.500
11 Rh 0.500 0.200 0.060
12 Rh 0.500 0.800 0.940
13 Rh 0.500 0.060 0.800
14 Rh 0.500 0.700 0.440
15 Rh 0.500 0.940 0.200
16 Rh 0.500 0.300 0.560
17 Rh 0.500 0.560 0.700
18 Rh 0.500 0.440 0.300
19 Rh 0.500 0.500 0.000
20 Rh 0.500 0.000 0.500

---

21.
The following is a DFT calculation (GGA-PBE) of CdBPCl2 after structural relaxation.

DOS at the Fermi energy, states/eV/f.u.: 1.95
SG: P4/mmm (123)
Excess energy over the best structure of this formula in the dataset, eV/atom: 0.612
Uncorrected formation energy, eV per atom: 1.0843

Cell: 5.234 5.234 5.155 Å, 90.00 90.00 90.00°
Positions (direct):
1 P 0.000 0.000 0.500
2 B 0.500 0.500 0.500
3 Cl 0.000 0.500 0.000
4 Cl 0.500 0.000 0.000
5 Cd 0.000 0.000 0.000

---

22.
The following is a DFT calculation (GGA-PBE) of TaMnTe4 after structural relaxation.

DOS at the Fermi energy, states/eV/f.u.: 2.87
SG: C2/m (12)
Uncorrected formation energy, eV per atom: -0.2369

Cell: 3.766 6.557 8.002 Å, 65.25 76.43 90.00°
Positions (direct):
1 Ta 0.500 0.500 0.000
2 Mn 0.000 0.000 0.000
3 Te 0.877 0.552 0.246
4 Te 0.620 0.960 0.760
5 Te 0.380 0.040 0.240
6 Te 0.123 0.448 0.754